First-principles (PBE) data for an optimized crystal structure of MnReGeRh, as listed in Alexandria via LeMat-Bulk.

The structure in POSCAR format:
```
MnReGeRh
1.0
-0.0074 -1.0792 -4.1478
-1.7405 -3.7134 -1.2450
-3.6753 -0.0114 -2.2047
Re Rh Ge Mn
1 1 1 1
direct
0.2500 0.2500 0.2500
0.7500 0.7500 0.7500
0.5000 0.5000 0.5000
0.0000 0.0000 0.0000
```

The calculation puts the formation energy from the elements at -12.5 kJ/mol of atoms. The calculation puts the spin magnetization at 3.04 μB per formula unit.

First-principles (PBE) data for an optimized crystal structure of MnReGe2Ru, as listed in Alexandria via LeMat-Bulk.

The structure in POSCAR format:
```
MnReGe2Ru
1.0
4.6257 0.0000 0.0000
0.0000 4.6257 0.0000
0.0000 0.0000 4.8166
Ge Ru Mn Re
2 1 1 1
direct
0.5000 0.0000 0.0000
0.0000 0.5000 0.0000
0.0000 0.0000 0.0000
0.0000 0.0000 0.5000
0.5000 0.5000 0.5000
```

The calculation puts the formation energy from the elements at 121.3 kJ/mol of atoms. The calculation puts the spin magnetization at 0.92 μB per formula unit.

First-principles (PBE) data for an optimized crystal structure of MnReSi2Ge, as listed in Alexandria via LeMat-Bulk.

The structure in POSCAR format:
```
MnReSi2Ge
1.0
-4.5266 1.2110 0.0660
-1.0516 -3.7747 -2.8641
-0.6633 -2.6855 3.7828
Si Re Ge Mn
2 1 1 1
direct
0.5000 0.0000 0.0000
0.0000 0.0000 0.5000
0.0000 0.0000 0.0000
0.0000 0.5000 0.0000
0.5000 0.5000 0.5000
```

As for the total energy: -6.677 eV per atom. The calculation puts the spin magnetization at 4.22 μB per formula unit.

First-principles (PBE) data for an optimized crystal structure of MnVRe2Ge, as listed in Alexandria via LeMat-Bulk.

The structure in POSCAR format:
```
MnVRe2Ge
1.0
4.4877 0.0000 0.0000
0.0000 4.4547 0.0000
0.0000 0.0000 4.4877
Re Ge Mn V
2 1 1 1
direct
0.5000 0.0000 0.0000
0.0000 0.0000 0.5000
0.0000 0.5000 0.0000
0.5000 0.5000 0.5000
0.0000 0.0000 0.0000
```

The calculation puts the formation energy from the elements at 173.4 kJ/mol of atoms. The calculation puts the spin magnetization at 0.15 μB per formula unit.

First-principles (PBE) data for an optimized crystal structure of MnRe2GeW, as listed in Alexandria via LeMat-Bulk.

The structure in POSCAR format:
```
MnRe2GeW
1.0
4.4462 0.0000 0.0000
0.0000 4.4760 0.0000
0.0000 0.0000 4.4462
W Re Ge Mn
1 2 1 1
direct
0.0000 0.5000 0.0000
0.0000 0.0000 0.5000
0.5000 0.0000 0.0000
0.5000 0.5000 0.5000
0.0000 0.0000 0.0000
```

The calculation puts the formation energy from the elements at 148.4 kJ/mol of atoms. The calculation puts the spin magnetization at 0.00 μB per formula unit.

First-principles (PBE) data for an optimized crystal structure of Mn2GeRh3, as listed in Alexandria via LeMat-Bulk.

The structure in POSCAR format:
```
Mn2GeRh3
1.0
4.3031 0.0018 0.0170
2.1542 6.4878 0.0085
-0.0241 0.0000 6.0803
Rh Ge Mn
6 2 4
direct
0.5000 0.0000 0.2487
0.8304 0.3396 0.2401
0.1696 0.6604 0.7599
0.8305 0.3396 0.7599
0.5000 0.0000 0.7513
0.1695 0.6604 0.2401
0.6589 0.6817 0.0000
0.3411 0.3183 0.0000
0.3333 0.3338 0.5000
0.0000 0.0000 0.0000
0.0000 0.0000 0.5000
0.6667 0.6662 0.5000
```

The calculation puts the formation energy from the elements at -34.7 kJ/mol of atoms. The calculation puts the spin magnetization at 9.12 μB per formula unit.

First-principles (PBE) data for an optimized crystal structure of MnGeRh3, as listed in Alexandria via LeMat-Bulk.

The structure in POSCAR format:
```
MnGeRh3
1.0
-4.0312 0.7744 1.7110
-0.7493 -4.3783 0.2162
1.7222 -0.0923 4.0992
Rh Mn Ge
3 1 1
direct
0.0000 0.5000 0.0000
0.5000 0.0000 0.0000
0.0000 0.0000 0.5000
0.0000 0.0000 0.0000
0.5000 0.5000 0.5000
```

The energy above the most stable polymorph in this dataset is 971 meV/atom. The calculation puts the formation energy from the elements at 84.4 kJ/mol of atoms. The calculation puts the spin magnetization at 0.00 μB per formula unit.

First-principles (PBE) data for an optimized crystal structure of Mn2GeRh, as listed in Alexandria via LeMat-Bulk.

The structure in POSCAR format:
```
Mn2GeRh
1.0
-0.5227 2.4031 2.9573
-3.6933 -0.3508 -0.3677
0.0400 -2.8897 2.3552
Rh Mn Ge
1 2 1
direct
0.5000 0.0000 0.0000
0.0000 0.0000 0.5000
0.0000 0.5000 0.0000
0.5000 0.5000 0.5000
```

The calculation puts the formation energy from the elements at -17.8 kJ/mol of atoms. The calculation puts the spin magnetization at 5.56 μB per formula unit.

First-principles (PBE) data for an optimized crystal structure of MnGe2Rh, as listed in Alexandria via LeMat-Bulk.

The structure in POSCAR format:
```
MnGe2Rh
1.0
4.0863 0.0000 0.0000
2.0431 3.5388 0.0000
2.0431 1.1796 4.5809
Ge Mn Rh
2 1 1
direct
0.2642 0.2642 0.2073
0.0726 0.0726 0.7822
0.4847 0.4847 0.5458
0.6785 0.6785 0.9646
```

The energy above the most stable polymorph in this dataset is 4 meV/atom. The calculation puts the formation energy from the elements at -15.4 kJ/mol of atoms. The calculation puts the spin magnetization at 3.93 μB per formula unit.

First-principles (PBE) data for an optimized crystal structure of MnGeRh3, as listed in Alexandria via LeMat-Bulk.

The structure in POSCAR format:
```
MnGeRh3
1.0
4.4772 0.0000 0.0000
0.0000 4.4772 0.0000
0.0000 0.0000 4.4772
Rh Ge Mn
3 1 1
direct
0.0000 0.5000 0.0000
0.5000 0.0000 0.0000
0.0000 0.0000 0.5000
0.0000 0.0000 0.0000
0.5000 0.5000 0.5000
```

The energy above the most stable polymorph in this dataset is 1147 meV/atom. The calculation puts the formation energy from the elements at 101.4 kJ/mol of atoms. The calculation puts the spin magnetization at 0.24 μB per formula unit.

First-principles (PBE) data for an optimized crystal structure of MnGeRh, as listed in Alexandria via LeMat-Bulk.

The structure in POSCAR format:
```
MnGeRh
1.0
-2.6499 1.5524 2.7715
-4.0603 -0.6725 -0.4182
-1.9600 -2.5239 2.6271
Ge Mn Rh
1 1 1
direct
0.0000 0.0000 0.0000
0.5000 0.5000 0.5000
0.2500 0.2500 0.2500
```

The calculation puts the formation energy from the elements at -13.7 kJ/mol of atoms. The calculation puts the spin magnetization at 3.22 μB per formula unit.

First-principles (PBE) data for an optimized crystal structure of Mn2GeRh, as listed in Alexandria via LeMat-Bulk.

The structure in POSCAR format:
```
Mn2GeRh
1.0
6.8805 0.0000 0.0000
0.0000 6.8805 0.0000
3.4403 3.4403 2.5498
Mn Ge Rh
4 2 2
direct
0.8750 0.8685 0.7500
0.1315 0.6250 0.2500
0.3750 0.3815 0.7500
0.6185 0.1250 0.2500
0.5000 0.5000 0.0000
0.2500 0.7500 0.5000
0.0000 0.0000 0.0000
0.7500 0.2500 0.5000
```

The calculation puts the formation energy from the elements at 22.4 kJ/mol of atoms. The calculation puts the spin magnetization at 6.71 μB per formula unit.

Q: What is the spin magnetization in the eleventh record?
A: 3.22 μB per formula unit

Repeat the tenth record exactly.
First-principles (PBE) data for an optimized crystal structure of MnGeRh3, as listed in Alexandria via LeMat-Bulk.

The structure in POSCAR format:
```
MnGeRh3
1.0
4.4772 0.0000 0.0000
0.0000 4.4772 0.0000
0.0000 0.0000 4.4772
Rh Ge Mn
3 1 1
direct
0.0000 0.5000 0.0000
0.5000 0.0000 0.0000
0.0000 0.0000 0.5000
0.0000 0.0000 0.0000
0.5000 0.5000 0.5000
```

The energy above the most stable polymorph in this dataset is 1147 meV/atom. The calculation puts the formation energy from the elements at 101.4 kJ/mol of atoms. The calculation puts the spin magnetization at 0.24 μB per formula unit.

Copy entry 12 word for word.
First-principles (PBE) data for an optimized crystal structure of Mn2GeRh, as listed in Alexandria via LeMat-Bulk.

The structure in POSCAR format:
```
Mn2GeRh
1.0
6.8805 0.0000 0.0000
0.0000 6.8805 0.0000
3.4403 3.4403 2.5498
Mn Ge Rh
4 2 2
direct
0.8750 0.8685 0.7500
0.1315 0.6250 0.2500
0.3750 0.3815 0.7500
0.6185 0.1250 0.2500
0.5000 0.5000 0.0000
0.2500 0.7500 0.5000
0.0000 0.0000 0.0000
0.7500 0.2500 0.5000
```

The calculation puts the formation energy from the elements at 22.4 kJ/mol of atoms. The calculation puts the spin magnetization at 6.71 μB per formula unit.

Q: Look up the spin magnetization of the fourth one.
A: 0.15 μB per formula unit